This record from Alexandria via LeMat-Bulk describes a geometry-optimized RbPN2O structure. The functional is GGA-PBE.

Cell lengths 5.668, 5.668, 4.542 Å; angles 90.00, 90.00, 90.00 degrees
Atoms (fractional coordinates):
P (0.500, 0.500, 0.500)
Rb (0.000, 0.000, 0.000)
N (0.500, 0.000, 0.000)
N (0.000, 0.500, 0.000)
O (0.000, 0.000, 0.500)

Uncorrected formation energy (eV/atom): 2.66
DFT total energy (eV/atom): -2.939

This record from Alexandria via LeMat-Bulk describes a geometry-optimized RbPN2O structure. The functional is GGA-PBE.

Cell lengths 3.482, 3.482, 4.702 Å; angles 90.00, 90.00, 90.00 degrees
Atoms (fractional coordinates):
N (0.000, 0.500, 0.000)
P (0.000, 0.000, 0.000)
N (0.500, 0.000, 0.000)
O (0.000, 0.000, 0.500)
Rb (0.500, 0.500, 0.500)

Uncorrected formation energy (eV/atom): 0.52
DFT total energy (eV/atom): -5.073

This record from Alexandria via LeMat-Bulk describes a geometry-optimized ReP2NO structure. The functional is GGA-PBE.

Cell lengths 4.658, 4.658, 3.687 Å; angles 90.00, 90.00, 90.00 degrees
Atoms (fractional coordinates):
P (0.000, 0.500, 0.000)
Re (0.000, 0.000, 0.000)
O (0.000, 0.000, 0.500)
P (0.500, 0.000, 0.000)
N (0.500, 0.500, 0.500)

Uncorrected formation energy (eV/atom): 0.96
DFT total energy (eV/atom): -6.347

This record from Alexandria via LeMat-Bulk describes a geometry-optimized ReP2NO structure. The functional is GGA-PBE.

Cell lengths 3.817, 3.817, 3.789 Å; angles 90.00, 90.00, 90.00 degrees
Atoms (fractional coordinates):
P (0.500, 0.000, 0.000)
Re (0.500, 0.500, 0.500)
P (0.000, 0.500, 0.000)
N (0.000, 0.000, 0.000)
O (0.000, 0.000, 0.500)

Uncorrected formation energy (eV/atom): 1.07
DFT total energy (eV/atom): -6.240

This record from Alexandria via LeMat-Bulk describes a geometry-optimized Re2PNO structure. The functional is GGA-PBE.

Cell lengths 4.050, 3.880, 4.050 Å; angles 90.00, 90.00, 90.00 degrees
Atoms (fractional coordinates):
P (0.000, 0.500, 0.000)
Re (0.000, 0.000, 0.500)
Re (0.500, 0.000, 0.000)
N (0.500, 0.500, 0.500)
O (0.000, 0.000, 0.000)

Uncorrected formation energy (eV/atom): 1.73
DFT total energy (eV/atom): -6.988

This record from Alexandria via LeMat-Bulk describes a geometry-optimized PRhNO2 structure. The functional is GGA-PBE.

Cell lengths 3.154, 3.154, 5.458 Å; angles 90.00, 90.00, 90.00 degrees
Atoms (fractional coordinates):
O (0.000, 0.500, 0.000)
Rh (0.000, 0.000, 0.500)
P (0.000, 0.000, 0.000)
O (0.500, 0.000, 0.000)
N (0.500, 0.500, 0.500)

Uncorrected formation energy (eV/atom): 0.07
DFT total energy (eV/atom): -6.128

This record from Alexandria via LeMat-Bulk describes a geometry-optimized PRhNO2 structure. The functional is GGA-PBE.

Cell lengths 3.973, 3.741, 3.973 Å; angles 90.00, 90.00, 90.00 degrees
Atoms (fractional coordinates):
Rh (0.000, 0.000, 0.000)
P (0.500, 0.500, 0.500)
N (0.000, 0.500, 0.000)
O (0.000, 0.000, 0.500)
O (0.500, 0.000, 0.000)

Uncorrected formation energy (eV/atom): 0.75
DFT total energy (eV/atom): -5.448

This record from Alexandria via LeMat-Bulk describes a geometry-optimized PRhNO2 structure. The functional is GGA-PBE.

Cell lengths 3.714, 3.714, 3.681 Å; angles 90.00, 90.00, 90.00 degrees
Atoms (fractional coordinates):
P (0.000, 0.000, 0.500)
Rh (0.500, 0.500, 0.500)
O (0.000, 0.500, 0.000)
N (0.000, 0.000, 0.000)
O (0.500, 0.000, 0.000)

Uncorrected formation energy (eV/atom): 1.09
DFT total energy (eV/atom): -5.108

This record from Alexandria via LeMat-Bulk describes a geometry-optimized PRhN2O structure. The functional is GGA-PBE.

Cell lengths 3.820, 3.820, 4.028 Å; angles 90.00, 90.00, 90.00 degrees
Atoms (fractional coordinates):
O (0.000, 0.000, 0.500)
N (0.000, 0.500, 0.000)
N (0.500, 0.000, 0.000)
P (0.500, 0.500, 0.500)
Rh (0.000, 0.000, 0.000)

Uncorrected formation energy (eV/atom): 1.34
DFT total energy (eV/atom): -5.533

This record from Alexandria via LeMat-Bulk describes a geometry-optimized PRhN2O structure. The functional is GGA-PBE.

Cell lengths 3.633, 3.633, 3.324 Å; angles 90.00, 90.00, 90.00 degrees
Atoms (fractional coordinates):
N (0.500, 0.000, 0.000)
O (0.000, 0.000, 0.500)
Rh (0.500, 0.500, 0.500)
N (0.000, 0.500, 0.000)
P (0.000, 0.000, 0.000)

Uncorrected formation energy (eV/atom): 0.62
DFT total energy (eV/atom): -6.253

This record from Alexandria via LeMat-Bulk describes a geometry-optimized PRhNO2 structure. The functional is GGA-PBE.

Cell lengths 3.656, 3.656, 5.221 Å; angles 90.00, 90.00, 90.00 degrees
Atoms (fractional coordinates):
Rh (0.000, 0.000, 0.000)
N (0.500, 0.500, 0.500)
O (0.000, 0.500, 0.000)
O (0.500, 0.000, 0.000)
P (0.000, 0.000, 0.500)

Uncorrected formation energy (eV/atom): 0.86
DFT total energy (eV/atom): -5.342

This record from Alexandria via LeMat-Bulk describes a geometry-optimized PRhNO2 structure. The functional is GGA-PBE.

Cell lengths 3.304, 3.304, 4.239 Å; angles 90.00, 90.00, 90.00 degrees
Atoms (fractional coordinates):
O (0.500, 0.000, 0.000)
O (0.000, 0.500, 0.000)
P (0.000, 0.000, 0.000)
N (0.000, 0.000, 0.500)
Rh (0.500, 0.500, 0.500)

Uncorrected formation energy (eV/atom): 0.15
DFT total energy (eV/atom): -6.053